Here is a geometry-optimized Si2RhNO structure from Alexandria. Energies are from PBE-GGA.

a = 4.330 Å, b = 2.962 Å, c = 4.976 Å
α = 90.00°, β = 97.93°, γ = 90.00°
Positions (direct):
Rh  0.784  0.500  0.650
Si  0.775  0.000  0.005
N  0.274  0.500  0.554
Si  0.211  0.000  0.366
O  0.444  0.000  0.129

Values from the calculation:
- ΔE_f (raw): -0.8455 eV/atom
- Space-group type: No. 6
- Total DFT energy (no corrections): -35.7 eV/cell

Here is a geometry-optimized EuYO2 structure from Alexandria. Energies are from PBE-GGA.

a = 6.174 Å, b = 6.174 Å, c = 6.174 Å
α = 32.71°, β = 32.71°, γ = 32.71°
Positions (direct):
Y  0.500  0.500  0.500
O  0.762  0.762  0.762
Eu  0.000  0.000  0.000
O  0.238  0.238  0.238

Values from the calculation:
- ΔE_f (raw): -2.8174 eV/atom
- Space-group type: No. 166
- Total DFT energy (no corrections): -37.9 eV/cell

Here is a geometry-optimized BaSr3Tc structure from Alexandria. Energies are from PBE-GGA.

a = 6.072 Å, b = 6.072 Å, c = 6.072 Å
α = 90.00°, β = 90.00°, γ = 90.00°
Positions (direct):
Sr  0.000  0.000  0.500
Sr  0.000  0.500  0.000
Tc  0.000  0.000  0.000
Ba  0.500  0.500  0.500
Sr  0.500  0.000  0.000

Values from the calculation:
- Space-group type: No. 221
- Total DFT energy (no corrections): -15.0 eV/cell

Here is a geometry-optimized La3Tb7Er structure from Alexandria. Energies are from PBE-GGA.

a = 6.764 Å, b = 6.582 Å, c = 8.688 Å
α = 81.60°, β = 80.11°, γ = 95.42°
Positions (direct):
Tb  0.730  0.989  0.577
La  0.940  0.807  0.168
Tb  0.270  0.011  0.423
La  0.060  0.193  0.832
Tb  0.709  0.565  0.853
La  0.500  0.000  0.000
Tb  0.226  0.714  0.788
Tb  0.291  0.435  0.147
Tb  0.000  0.500  0.500
Er  0.500  0.500  0.500
Tb  0.774  0.286  0.212

Values from the calculation:
- Space-group type: No. 2
- Total DFT energy (no corrections): -50.4 eV/cell

Here is a geometry-optimized Al2WAu structure from Alexandria. Energies are from PBE-GGA.

a = 4.772 Å, b = 4.772 Å, c = 2.862 Å
α = 90.00°, β = 90.00°, γ = 103.25°
Positions (direct):
Al  0.000  0.000  0.000
Au  0.500  0.000  0.500
W  0.000  0.500  0.500
Al  0.500  0.500  0.000

Values from the calculation:
- Space-group type: No. 65
- Total DFT energy (no corrections): -24.2 eV/cell

Look up the total DFT energy (no corrections) of the fourth one. -50.4 eV/cell